(1)
# NaErHgTe3

NaErHgTe3 after structural relaxation (PBE, OQMD).

Density: 6.6 g/cm³
Energy above the lowest structure with this stoichiometry: 53 meV per atom
Uncorrected energy: -3.396 eV per atom
SG: C2/m (12)

a = 10.378 Å, b = 10.378 Å, c = 9.182 Å
α = 102.17°, β = 102.17°, γ = 23.90°
Fractional positions:
Na (0.125, 0.125, 0.579)
Na (0.875, 0.875, 0.421)
Te (0.329, 0.329, 0.146)
Te (0.671, 0.671, 0.854)
Te (0.315, 0.315, 0.670)
Te (0.500, 0.500, 0.500)
Te (0.000, 0.000, 0.000)
Te (0.685, 0.685, 0.330)
Er (0.822, 0.822, 0.911)
Er (0.178, 0.178, 0.089)
Hg (0.543, 0.543, 0.225)
Hg (0.457, 0.457, 0.775)


(2)
# NaErHgTe3

NaErHgTe3 after structural relaxation (PBE, OQMD).

Density: 6.6 g/cm³
Energy above the lowest structure with this stoichiometry: 0 meV per atom
Uncorrected energy: -3.449 eV per atom
SG: Pnma (62)

a = 14.764 Å, b = 4.391 Å, c = 11.925 Å
α = 90.00°, β = 90.00°, γ = 90.00°
Fractional positions:
Hg (0.989, 0.750, 0.399)
Hg (0.011, 0.250, 0.601)
Hg (0.489, 0.750, 0.101)
Hg (0.511, 0.250, 0.899)
Te (0.615, 0.250, 0.124)
Te (0.851, 0.750, 0.236)
Te (0.649, 0.250, 0.736)
Te (0.611, 0.750, 0.432)
Te (0.115, 0.250, 0.376)
Te (0.385, 0.750, 0.876)
Te (0.889, 0.250, 0.932)
Te (0.351, 0.750, 0.264)
Te (0.149, 0.250, 0.764)
Te (0.111, 0.750, 0.068)
Te (0.389, 0.250, 0.568)
Te (0.885, 0.750, 0.624)
Na (0.230, 0.750, 0.575)
Na (0.770, 0.250, 0.425)
Na (0.730, 0.750, 0.925)
Na (0.270, 0.250, 0.075)
Er (0.986, 0.250, 0.156)
Er (0.486, 0.250, 0.344)
Er (0.514, 0.750, 0.656)
Er (0.014, 0.750, 0.844)


(3)
# NaErHgTe3

NaErHgTe3 after structural relaxation (PBE, OQMD).

Density: 6.6 g/cm³
Energy above the lowest structure with this stoichiometry: 3 meV per atom
Uncorrected energy: -3.446 eV per atom
SG: P2_1/m (11)

a = 8.619 Å, b = 4.391 Å, c = 10.633 Å
α = 90.00°, β = 104.61°, γ = 90.00°
Fractional positions:
Hg (0.588, 0.250, 0.108)
Hg (0.412, 0.750, 0.892)
Te (0.429, 0.750, 0.633)
Te (0.067, 0.250, 0.349)
Te (0.933, 0.750, 0.651)
Te (0.772, 0.750, 0.042)
Te (0.571, 0.250, 0.367)
Te (0.228, 0.250, 0.958)
Na (0.274, 0.750, 0.238)
Na (0.726, 0.250, 0.762)
Er (0.823, 0.750, 0.355)
Er (0.177, 0.250, 0.645)


(4)
# NaErHgTe3

NaErHgTe3 after structural relaxation (PBE, OQMD).

Density: 7.0 g/cm³
Energy above the lowest structure with this stoichiometry: 73 meV per atom
Uncorrected energy: -3.375 eV per atom
SG: Pnma (62)

a = 8.926 Å, b = 4.483 Å, c = 18.446 Å
α = 90.00°, β = 90.00°, γ = 90.00°
Fractional positions:
Er (0.721, 0.750, 0.537)
Er (0.779, 0.250, 0.037)
Er (0.221, 0.750, 0.963)
Er (0.279, 0.250, 0.463)
Te (0.491, 0.250, 0.928)
Te (0.292, 0.250, 0.294)
Te (0.991, 0.250, 0.572)
Te (0.624, 0.250, 0.437)
Te (0.009, 0.750, 0.428)
Te (0.376, 0.750, 0.563)
Te (0.208, 0.750, 0.794)
Te (0.792, 0.250, 0.206)
Te (0.708, 0.750, 0.706)
Te (0.876, 0.750, 0.937)
Te (0.509, 0.750, 0.072)
Te (0.124, 0.250, 0.063)
Na (0.405, 0.250, 0.694)
Na (0.905, 0.250, 0.806)
Na (0.095, 0.750, 0.194)
Na (0.595, 0.750, 0.306)
Hg (0.034, 0.750, 0.669)
Hg (0.534, 0.750, 0.831)
Hg (0.466, 0.250, 0.169)
Hg (0.966, 0.250, 0.331)


(5)
# NaErHgTe3

NaErHgTe3 after structural relaxation (PBE, OQMD).

Density: 6.7 g/cm³
Energy above the lowest structure with this stoichiometry: 1 meV per atom
Uncorrected energy: -3.448 eV per atom
SG: Pnma (62)

a = 11.669 Å, b = 4.372 Å, c = 14.938 Å
α = 90.00°, β = 90.00°, γ = 90.00°
Fractional positions:
Er (0.487, 0.750, 0.245)
Er (0.513, 0.250, 0.755)
Er (0.987, 0.750, 0.255)
Er (0.013, 0.250, 0.745)
Na (0.272, 0.250, 0.522)
Na (0.772, 0.250, 0.978)
Na (0.228, 0.750, 0.022)
Na (0.728, 0.750, 0.478)
Te (0.567, 0.750, 0.895)
Te (0.537, 0.250, 0.386)
Te (0.236, 0.750, 0.343)
Te (0.463, 0.750, 0.614)
Te (0.764, 0.250, 0.657)
Te (0.037, 0.250, 0.114)
Te (0.933, 0.250, 0.395)
Te (0.736, 0.750, 0.157)
Te (0.067, 0.750, 0.605)
Te (0.264, 0.250, 0.843)
Te (0.433, 0.250, 0.105)
Te (0.963, 0.750, 0.886)
Hg (0.740, 0.250, 0.283)
Hg (0.260, 0.750, 0.717)
Hg (0.760, 0.750, 0.783)
Hg (0.240, 0.250, 0.217)


(6)
# NdErHg

NdErHg after structural relaxation (PBE, OQMD).

Density: 8.8 g/cm³
Energy above the lowest structure with this stoichiometry: 0 meV per atom
Uncorrected energy: -3.306 eV per atom
ΔH_f (0 K): -0.0981 eV/atom
SG: F-43m (216)

a = 5.153 Å, b = 5.153 Å, c = 5.153 Å
α = 60.00°, β = 60.00°, γ = 60.00°
Each line ends with the local moment (μB).
Fractional positions:
Nd (0.750, 0.750, 0.750)  0.04
Er (0.250, 0.250, 0.250)  0.05
Hg (0.000, 0.000, 0.000)  0.00


(7)
# NdErHg6

NdErHg6 after structural relaxation (PBE, OQMD).

Density: 13.1 g/cm³
Uncorrected energy: -1.741 eV per atom
ΔH_f (0 K): -0.3516 eV/atom
SG: P-6m2 (187)

a = 6.638 Å, b = 6.638 Å, c = 5.018 Å
α = 90.00°, β = 90.00°, γ = 120.00°
Fractional positions:
Hg (0.330, 0.165, 0.500)
Hg (0.504, 0.496, 0.000)
Hg (0.835, 0.165, 0.500)
Hg (0.992, 0.496, 0.000)
Hg (0.504, 0.008, 0.000)
Hg (0.835, 0.670, 0.500)
Er (0.000, 0.000, 0.000)
Nd (0.333, 0.667, 0.500)


(8)
# Er4Ni2Hg5

Er4Ni2Hg5 after structural relaxation (PBE, OQMD).

Density: 12.0 g/cm³
Uncorrected energy: -3.262 eV per atom
ΔH_f (0 K): -0.4554 eV/atom
SG: P2/m (10)

a = 7.486 Å, b = 3.570 Å, c = 9.319 Å
α = 90.00°, β = 93.64°, γ = 90.00°
Fractional positions:
Hg (0.945, 0.000, 0.166)
Hg (0.664, 0.000, 0.643)
Hg (0.000, 0.000, 0.500)
Hg (0.055, 0.000, 0.834)
Hg (0.336, 0.000, 0.357)
Er (0.323, 0.500, 0.659)
Er (0.677, 0.500, 0.341)
Er (0.720, 0.500, 0.936)
Er (0.280, 0.500, 0.064)
Ni (0.567, 0.000, 0.128)
Ni (0.433, 0.000, 0.872)